Entry 1:
## PrCu2Ge3 (PBE)

Data for PrCu2Ge3 after structural relaxation.

```
data_PrCu2Ge3
_cell_length_a 4.2004
_cell_length_b 4.2004
_cell_length_c 12.9019
_cell_angle_alpha 99.37
_cell_angle_beta 99.37
_cell_angle_gamma 90.00
_symmetry_space_group_name_H-M 'P 1'
_symmetry_Int_Tables_number 1
loop_
_symmetry_equiv_pos_as_xyz
'x,y,z'
loop_
_atom_site_label
_atom_site_type_symbol
_atom_site_fract_x
_atom_site_fract_y
_atom_site_fract_z
_atom_site_occupancy
Ge1 Ge 0.4502 0.9502 0.9005 1
Pr1 Pr 0.8497 0.8497 0.6994 1
Cu1 Cu 0.2500 0.7500 0.5000 1
Ge2 Ge 0.5498 0.0498 0.0995 1
Cu2 Cu 0.3998 0.3998 0.7996 1
Ge3 Ge 0.9502 0.4502 0.9005 1
Ge4 Ge 0.0498 0.5498 0.0995 1
Cu3 Cu 0.6002 0.6002 0.2004 1
Cu4 Cu 0.7500 0.2500 0.5000 1
Ge5 Ge 0.3035 0.3035 0.6070 1
Pr2 Pr 0.1503 0.1503 0.3006 1
Ge6 Ge 0.6965 0.6965 0.3930 1
```

## Properties
Formation energy   -0.403 eV/atom
Symmetry   No. 139

Entry 2:
## Pr2CuGe2 (PBE)

Data for Pr2CuGe2 after structural relaxation.

```
data_Pr2CuGe2
_cell_length_a 4.3272
_cell_length_b 5.9544
_cell_length_c 9.9311
_cell_angle_alpha 83.61
_cell_angle_beta 77.42
_cell_angle_gamma 68.69
_symmetry_space_group_name_H-M 'P 1'
_symmetry_Int_Tables_number 1
loop_
_symmetry_equiv_pos_as_xyz
'x,y,z'
loop_
_atom_site_label
_atom_site_type_symbol
_atom_site_fract_x
_atom_site_fract_y
_atom_site_fract_z
_atom_site_occupancy
Pr1 Pr 0.7078 0.2329 0.3515 1
Pr2 Pr 0.1014 0.7010 0.0962 1
Ge1 Ge 0.0399 0.3297 0.5905 1
Ge2 Ge 0.9601 0.6703 0.4095 1
Pr3 Pr 0.2922 0.7671 0.6485 1
Pr4 Pr 0.8986 0.2990 0.9038 1
Ge3 Ge 0.3780 0.1270 0.1169 1
Cu1 Cu 0.5655 0.1850 0.6840 1
Ge4 Ge 0.6220 0.8730 0.8831 1
Cu2 Cu 0.4345 0.8150 0.3160 1
```

## Properties
Formation energy   -0.688 eV/atom
Symmetry   No. 12

Entry 3:
## Pr4Cu3Ge (PBE)

Data for Pr4Cu3Ge after structural relaxation.

```
data_Pr4Cu3Ge
_cell_length_a 4.1858
_cell_length_b 4.3518
_cell_length_c 10.8816
_cell_angle_alpha 90.00
_cell_angle_beta 90.00
_cell_angle_gamma 90.00
_symmetry_space_group_name_H-M 'P 1'
_symmetry_Int_Tables_number 1
loop_
_symmetry_equiv_pos_as_xyz
'x,y,z'
loop_
_atom_site_label
_atom_site_type_symbol
_atom_site_fract_x
_atom_site_fract_y
_atom_site_fract_z
_atom_site_occupancy
Pr1 Pr 0.0000 0.0000 0.1449 1
Pr2 Pr 0.5000 0.0000 0.6414 1
Ge1 Ge 0.5000 0.5000 0.0713 1
Cu1 Cu 0.0000 0.0000 0.4363 1
Cu2 Cu 0.0000 0.5000 0.5628 1
Pr3 Pr 0.5000 0.5000 0.3567 1
Cu3 Cu 0.5000 0.0000 0.9327 1
Pr4 Pr 0.0000 0.5000 0.8539 1
```

## Properties
Formation energy   -0.310 eV/atom
Symmetry   No. 25

no.,V (Å³/cell),total moment (μB/f.u.)
1,221.5,0.00
2,232.5,0.00
3,198.2,0.00